Material: ErGa4Pb
Method: DFT, PBE
State: optimized geometry

The value obtained for the mass density is 8.643 g cm⁻³. The value obtained for the formation energy is -118.4 kJ/mol of formula units. The calculation puts the spin magnetization at 0.00 μB per formula unit.

Lattice parameters (Å, degrees): 7.9480 7.9480 7.9480 90.00 90.00 90.00
Space group F-43m (No. 216)
Asymmetric unit:
Er 0.0000 0.0000 0.0000 x4
Ga 0.1254 0.1254 0.6254 x16
Pb 0.2500 0.2500 0.2500 x4

=====

Material: Tl16Hg12As
Method: DFT, PBE
State: optimized geometry

The value obtained for the mass density is 11.230 g cm⁻³. The value obtained for the formation energy is 23.3 kJ/mol of formula units. The calculation puts the spin magnetization at 0.00 μB per formula unit.

Lattice parameters (Å, degrees): 12.1402 16.4153 10.1239 90.00 122.52 90.00
Space group Cm (No. 8)
Asymmetric unit:
Tl 0.0000 0.0000 0.0000 x2
Tl 0.0164 0.3862 0.0000 x4
Tl 0.0184 0.3014 0.3378 x4
Tl 0.0616 0.0000 0.6788 x2
Tl 0.0993 0.5000 0.3342 x2
Tl 0.2015 0.1827 0.6838 x4
Tl 0.3088 0.3163 0.0130 x4
Tl 0.3216 0.0000 0.3539 x2
Tl 0.3528 0.3492 0.4445 x4
Tl 0.4598 0.1495 0.6280 x4
Hg 0.0028 0.1986 0.8572 x4
Hg 0.0676 0.0952 0.3390 x4
Hg 0.1536 0.5000 0.8517 x2
Hg 0.1979 0.2055 0.2200 x4
Hg 0.2481 0.4000 0.6652 x4
Hg 0.2690 0.0955 0.0234 x4
Hg 0.3002 0.5000 0.2134 x2
As 0.3143 0.0000 0.6690 x2

=====

Material: RuRhSe
Method: DFT, PBE
State: optimized geometry

Its offset from the most stable computed form is 188 meV per atom. The value obtained for the mass density is 10.349 g cm⁻³. Its formation energy (no corrections) is 0.7 eV per formula unit. The calculation puts the spin magnetization at 0.00 μB per formula unit.

Lattice parameters (Å, degrees): 2.9426 2.9426 10.4860 90.00 90.00 90.00
Space group I4mm (No. 107)
Asymmetric unit:
Ru 0.0000 0.0000 0.0000 x2
Rh 0.0000 0.0000 0.3283 x2
Se 0.0000 0.0000 0.6486 x2

=====

Material: Ba2LiSbO
Method: DFT, PBE
State: optimized geometry

Its offset from the most stable computed form is 0 meV per atom. The value obtained for the mass density is 4.877 g cm⁻³. Its formation energy (no corrections) is -7.7 eV per formula unit. The calculation puts the spin magnetization at 0.00 μB per formula unit.

Lattice parameters (Å, degrees): 7.2852 4.5531 9.0391 90.00 107.76 90.00
Space group P2_1/m (No. 11)
Asymmetric unit:
Ba 0.1925 0.2500 0.3829 x2
Ba 0.2059 0.2500 0.9604 x2
Li 0.4319 0.7500 0.2395 x2
Sb 0.3379 0.7500 0.7005 x2
O 0.1621 0.7500 0.1618 x2

=====

Material: YbCdAg2
Method: DFT, PBE
State: optimized geometry

The value obtained for the mass density is 9.519 g cm⁻³. The value obtained for the formation energy is -101.7 kJ/mol of formula units. The calculation puts the spin magnetization at 0.19 μB per formula unit.

Lattice parameters (Å, degrees): 7.0455 7.0455 7.0455 90.00 90.00 90.00
Space group Fm-3m (No. 225)
Asymmetric unit:
Yb 0.0000 0.0000 0.0000 x4
Cd 0.0000 0.0000 0.5000 x4
Ag 0.2500 0.2500 0.2500 x8

=====

Material: AlCrNiAu
Method: DFT, PBE
State: optimized geometry

The value obtained for the mass density is 9.612 g cm⁻³. The value obtained for the formation energy is -47.3 kJ/mol of formula units. The calculation puts the spin magnetization at 3.53 μB per formula unit.

Lattice parameters (Å, degrees): 6.1380 6.1380 6.1380 90.00 90.00 90.00
Space group F-43m (No. 216)
Asymmetric unit:
Al 0.0000 0.0000 0.0000 x4
Cr 0.0000 0.0000 0.5000 x4
Ni 0.2500 0.2500 0.7500 x4
Au 0.2500 0.2500 0.2500 x4

=====

Material: Ho3Ge2Ir2
Method: DFT, PBE
State: optimized geometry

The value obtained for the mass density is 11.745 g cm⁻³. The value obtained for the formation energy is -614.0 kJ/mol of formula units. The calculation puts the spin magnetization at 0.00 μB per formula unit.

Lattice parameters (Å, degrees): 5.5989 7.7818 13.2984 90.00 90.00 90.00
Space group Pbcm (No. 57)
Asymmetric unit:
Ho 0.1236 0.2414 0.2500 x4
Ho 0.3549 0.6056 0.1000 x8
Ge 0.1547 0.2500 0.0000 x4
Ge 0.3782 0.6083 0.7500 x4
Ir 0.1331 0.5436 0.5928 x8

=====

Material: ZrMo2Pb
Method: DFT, PBE
State: optimized geometry

The value obtained for the mass density is 10.342 g cm⁻³. The value obtained for the formation energy is 106.2 kJ/mol of formula units. The calculation puts the spin magnetization at 0.00 μB per formula unit.

Lattice parameters (Å, degrees): 3.1291 4.5499 5.6963 90.00 103.89 90.00
Space group Pm (No. 6)
Asymmetric unit:
Zr 0.0000 0.0000 0.0000 x1
Mo 0.5050 0.0000 0.4425 x1
Mo 0.7288 0.5000 0.2616 x1
Pb 0.3652 0.5000 0.7336 x1